Model i:
# meta-GGA SCAN TcMoW2, single point on PBEsol structure
# Space-group type ... C2/m (12)
data_TcMoW2
_chemical_formula_sum 'Tc1 Mo1 W2'
_space_group_name_H-M_alt 'P 1'
_space_group_IT_number 1
_cell_length_a 2.7160
_cell_length_b 5.1593
_cell_length_c 5.1593
_cell_angle_alpha 116.71
_cell_angle_beta 100.25
_cell_angle_gamma 100.25
loop_
_space_group_symop_operation_xyz
'x,y,z'
loop_
_atom_site_label
_atom_site_fract_x
_atom_site_fract_y
_atom_site_fract_z
W1 0.0000 0.0000 0.5000
W2 0.0000 0.5000 0.0000
Tc1 0.5000 0.5000 0.5000
Mo1 0.5000 0.0000 0.0000

Model ii:
# meta-GGA SCAN TcMoW2, single point on PBEsol structure
# Space-group type ... P4/mmm (123)
data_TcMoW2
_chemical_formula_sum 'Tc1 Mo1 W2'
_space_group_name_H-M_alt 'P 1'
_space_group_IT_number 1
_cell_length_a 3.1176
_cell_length_b 4.4119
_cell_length_c 4.4119
_cell_angle_alpha 90.00
_cell_angle_beta 90.00
_cell_angle_gamma 90.00
loop_
_space_group_symop_operation_xyz
'x,y,z'
loop_
_atom_site_label
_atom_site_fract_x
_atom_site_fract_y
_atom_site_fract_z
Tc1 0.5000 0.0000 0.0000
W1 0.0000 0.0000 0.5000
W2 0.0000 0.5000 0.0000
Mo1 0.5000 0.5000 0.5000

Model iii:
# meta-GGA SCAN TcMoW2, single point on PBEsol structure
# Space-group type ... P4mm (99)
data_TcMoW2
_chemical_formula_sum 'Tc1 Mo1 W2'
_space_group_name_H-M_alt 'P 1'
_space_group_IT_number 1
_cell_length_a 3.1210
_cell_length_b 3.1210
_cell_length_c 6.2555
_cell_angle_alpha 90.00
_cell_angle_beta 90.00
_cell_angle_gamma 90.00
loop_
_space_group_symop_operation_xyz
'x,y,z'
loop_
_atom_site_label
_atom_site_fract_x
_atom_site_fract_y
_atom_site_fract_z
Tc1 0.5000 0.5000 0.7566
W1 0.0000 0.0000 0.9964
W2 0.5000 0.5000 0.2534
Mo1 0.0000 0.0000 0.4936

Verdict on stability: model ii comes out on top.

Model i:
# meta-GGA SCAN TcMoW2, single point on PBEsol structure
# Space-group type ... Imm2 (44)
data_TcMoW2
_chemical_formula_sum 'Tc1 Mo1 W2'
_space_group_name_H-M_alt 'P 1'
_space_group_IT_number 1
_cell_length_a 3.1184
_cell_length_b 4.4123
_cell_length_c 5.1794
_cell_angle_alpha 115.21
_cell_angle_beta 107.52
_cell_angle_gamma 90.00
loop_
_space_group_symop_operation_xyz
'x,y,z'
loop_
_atom_site_label
_atom_site_fract_x
_atom_site_fract_y
_atom_site_fract_z
W1 0.2505 0.7505 0.5011
W2 0.9967 0.9967 0.9934
Tc1 0.7486 0.2486 0.4973
Mo1 0.5041 0.5041 0.0082

Model ii:
# meta-GGA SCAN TcMoW2, single point on PBEsol structure
# Space-group type ... Cmm2 (35)
data_TcMoW2
_chemical_formula_sum 'Tc1 Mo1 W2'
_space_group_name_H-M_alt 'P 1'
_space_group_IT_number 1
_cell_length_a 2.7106
_cell_length_b 2.7106
_cell_length_c 8.8004
_cell_angle_alpha 90.00
_cell_angle_beta 90.00
_cell_angle_gamma 109.78
loop_
_space_group_symop_operation_xyz
'x,y,z'
loop_
_atom_site_label
_atom_site_fract_x
_atom_site_fract_y
_atom_site_fract_z
Tc1 0.5000 0.5000 0.2505
W1 0.0000 0.0000 0.0039
W2 0.5000 0.5000 0.7492
Mo1 0.0000 0.0000 0.4966

Verdict on stability: model i comes out on top.

Model i:
# meta-GGA SCAN TcMoW, single point on PBEsol structure
# Space-group type ... I4mm (107)
data_TcMoW
_chemical_formula_sum 'Tc1 Mo1 W1'
_space_group_name_H-M_alt 'P 1'
_space_group_IT_number 1
_cell_length_a 3.1134
_cell_length_b 3.1134
_cell_length_c 5.1544
_cell_angle_alpha 107.58
_cell_angle_beta 107.58
_cell_angle_gamma 90.00
loop_
_space_group_symop_operation_xyz
'x,y,z'
loop_
_atom_site_label
_atom_site_fract_x
_atom_site_fract_y
_atom_site_fract_z
Mo1 0.0024 0.0024 0.0048
Tc1 0.3313 0.3313 0.6626
W1 0.6663 0.6663 0.3326

Model ii:
# meta-GGA SCAN TcMoW, single point on PBEsol structure
# Space-group type ... Fmm2 (42)
data_TcMoW
_chemical_formula_sum 'Tc1 Mo1 W1'
_space_group_name_H-M_alt 'P 1'
_space_group_IT_number 1
_cell_length_a 2.7004
_cell_length_b 2.7004
_cell_length_c 6.7474
_cell_angle_alpha 97.54
_cell_angle_beta 97.54
_cell_angle_gamma 109.77
loop_
_space_group_symop_operation_xyz
'x,y,z'
loop_
_atom_site_label
_atom_site_fract_x
_atom_site_fract_y
_atom_site_fract_z
W1 0.6681 0.6681 0.3359
Mo1 0.9986 0.9986 0.9973
Tc1 0.3335 0.3335 0.6668

Verdict on stability: model i comes out on top.

Model i:
# meta-GGA SCAN YTcMo2, single point on PBEsol structure
# Space-group type ... Pmmm (47)
data_YTcMo2
_chemical_formula_sum 'Y1 Tc1 Mo2'
_space_group_name_H-M_alt 'P 1'
_space_group_IT_number 1
_cell_length_a 3.1991
_cell_length_b 4.4935
_cell_length_c 4.6878
_cell_angle_alpha 90.00
_cell_angle_beta 90.00
_cell_angle_gamma 90.00
loop_
_space_group_symop_operation_xyz
'x,y,z'
loop_
_atom_site_label
_atom_site_fract_x
_atom_site_fract_y
_atom_site_fract_z
Tc1 0.5000 0.0000 0.5000
Mo1 0.5000 0.5000 0.0000
Mo2 0.0000 0.0000 0.0000
Y1 0.0000 0.5000 0.5000

Model ii:
# meta-GGA SCAN YTcMo2, single point on PBEsol structure
# Space-group type ... R3m (160)
data_YTcMo2
_chemical_formula_sum 'Y1 Tc1 Mo2'
_space_group_name_H-M_alt 'P 1'
_space_group_IT_number 1
_cell_length_a 3.0526
_cell_length_b 3.0526
_cell_length_c 8.8701
_cell_angle_alpha 80.09
_cell_angle_beta 80.09
_cell_angle_gamma 60.00
loop_
_space_group_symop_operation_xyz
'x,y,z'
loop_
_atom_site_label
_atom_site_fract_x
_atom_site_fract_y
_atom_site_fract_z
Y1 0.2488 0.2488 0.2536
Mo1 0.7507 0.7506 0.7480
Mo2 0.0102 0.0102 0.9694
Tc1 0.4904 0.4904 0.5289

Model iii:
# meta-GGA SCAN YTcMo2, single point on PBEsol structure
# Space-group type ... Imm2 (44)
data_YTcMo2
_chemical_formula_sum 'Y1 Tc1 Mo2'
_space_group_name_H-M_alt 'P 1'
_space_group_IT_number 1
_cell_length_a 3.1976
_cell_length_b 4.7594
_cell_length_c 5.3211
_cell_angle_alpha 116.57
_cell_angle_beta 107.49
_cell_angle_gamma 90.00
loop_
_space_group_symop_operation_xyz
'x,y,z'
loop_
_atom_site_label
_atom_site_fract_x
_atom_site_fract_y
_atom_site_fract_z
Y1 0.2480 0.7480 0.4961
Tc1 0.4839 0.4839 0.9677
Mo1 0.0174 0.0174 0.0348
Mo2 0.7507 0.2507 0.5014

Verdict on stability: model iii comes out on top.

Model i:
# meta-GGA SCAN ZnTcMo, single point on PBEsol structure
# Space-group type ... P3m1 (156)
data_ZnTcMo
_chemical_formula_sum 'Zn1 Tc1 Mo1'
_space_group_name_H-M_alt 'P 1'
_space_group_IT_number 1
_cell_length_a 2.6143
_cell_length_b 4.3472
_cell_length_c 4.3472
_cell_angle_alpha 120.00
_cell_angle_beta 90.00
_cell_angle_gamma 90.00
loop_
_space_group_symop_operation_xyz
'x,y,z'
loop_
_atom_site_label
_atom_site_fract_x
_atom_site_fract_y
_atom_site_fract_z
Mo1 0.9520 0.0000 0.0000
Tc1 0.7018 0.6667 0.3333
Zn1 0.3462 0.3333 0.6667

Model ii:
# meta-GGA SCAN ZnTcMo, single point on PBEsol structure
# Space-group type ... F-43m (216)
data_ZnTcMo
_chemical_formula_sum 'Zn1 Tc1 Mo1'
_space_group_name_H-M_alt 'P 1'
_space_group_IT_number 1
_cell_length_a 4.1642
_cell_length_b 4.1642
_cell_length_c 4.1642
_cell_angle_alpha 60.00
_cell_angle_beta 60.00
_cell_angle_gamma 60.00
loop_
_space_group_symop_operation_xyz
'x,y,z'
loop_
_atom_site_label
_atom_site_fract_x
_atom_site_fract_y
_atom_site_fract_z
Tc1 0.0000 0.0000 0.0000
Mo1 0.2500 0.2500 0.2500
Zn1 0.5000 0.5000 0.5000

Verdict on stability: model i comes out on top.

Model i:
# meta-GGA SCAN TeMo, single point on PBEsol structure
# Space-group type ... P6_3/mmc (194)
data_TeMo
_chemical_formula_sum 'Te2 Mo2'
_space_group_name_H-M_alt 'P 1'
_space_group_IT_number 1
_cell_length_a 3.2715
_cell_length_b 3.2715
_cell_length_c 8.1030
_cell_angle_alpha 90.00
_cell_angle_beta 90.00
_cell_angle_gamma 120.00
loop_
_space_group_symop_operation_xyz
'x,y,z'
loop_
_atom_site_label
_atom_site_fract_x
_atom_site_fract_y
_atom_site_fract_z
Mo1 0.3333 0.6667 0.2500
Mo2 0.6667 0.3333 0.7500
Te1 0.0000 0.0000 0.5000
Te2 0.0000 0.0000 0.0000

Model ii:
# meta-GGA SCAN TeMo, single point on PBEsol structure
# Space-group type ... Pmmn (59)
data_TeMo
_chemical_formula_sum 'Te2 Mo2'
_space_group_name_H-M_alt 'P 1'
_space_group_IT_number 1
_cell_length_a 3.3008
_cell_length_b 4.8101
_cell_length_c 4.7591
_cell_angle_alpha 90.00
_cell_angle_beta 90.00
_cell_angle_gamma 90.00
loop_
_space_group_symop_operation_xyz
'x,y,z'
loop_
_atom_site_label
_atom_site_fract_x
_atom_site_fract_y
_atom_site_fract_z
Te1 0.5000 0.0000 0.1420
Te2 0.0000 0.5000 0.8580
Mo1 0.5000 0.5000 0.4028
Mo2 0.0000 0.0000 0.5972

Verdict on stability: model ii comes out on top.

Model i:
# meta-GGA SCAN Ti3TeMo, single point on PBEsol structure
# Space-group type ... Pm-3m (221)
data_Ti3TeMo
_chemical_formula_sum 'Ti3 Te1 Mo1'
_space_group_name_H-M_alt 'P 1'
_space_group_IT_number 1
_cell_length_a 4.8236
_cell_length_b 4.8236
_cell_length_c 4.8236
_cell_angle_alpha 90.00
_cell_angle_beta 90.00
_cell_angle_gamma 90.00
loop_
_space_group_symop_operation_xyz
'x,y,z'
loop_
_atom_site_label
_atom_site_fract_x
_atom_site_fract_y
_atom_site_fract_z
Mo1 0.5000 0.5000 0.5000
Ti1 0.5000 0.0000 0.0000
Ti2 0.0000 0.0000 0.5000
Ti3 0.0000 0.5000 0.0000
Te1 0.0000 0.0000 0.0000

Model ii:
# meta-GGA SCAN Ti3TeMo, single point on PBEsol structure
# Space-group type ... Pm-3m (221)
data_Ti3TeMo
_chemical_formula_sum 'Ti3 Te1 Mo1'
_space_group_name_H-M_alt 'P 1'
_space_group_IT_number 1
_cell_length_a 4.6914
_cell_length_b 4.6914
_cell_length_c 4.6914
_cell_angle_alpha 90.00
_cell_angle_beta 90.00
_cell_angle_gamma 90.00
loop_
_space_group_symop_operation_xyz
'x,y,z'
loop_
_atom_site_label
_atom_site_fract_x
_atom_site_fract_y
_atom_site_fract_z
Ti1 0.5000 0.0000 0.0000
Ti2 0.0000 0.0000 0.5000
Ti3 0.0000 0.5000 0.0000
Mo1 0.0000 0.0000 0.0000
Te1 0.5000 0.5000 0.5000

Verdict on stability: model ii comes out on top.